No. 1
VASP calculation (PBE) on crystalline TaAlTc2 at its relaxed geometry.

The value obtained for the total energy is -9.47 eV per atom. The total magnetization comes out at 0.000 μB per cell. The calculation puts the energy of formation from the pure elements at -387 meV per atom.

The space group is P4/mmm (No. 123) and the conventional cell measures 3.1719, 3.1719 and 6.0832 Å, with angles of 90.00, 90.00 and 90.00 degrees. The asymmetric unit holds Ta at (0.0000, 0.0000, 0.0000), Al at (0.0000, 0.0000, 0.5000) and Tc at (0.5000, 0.5000, 0.2583).

=====

No. 2
VASP calculation (PBE) on crystalline TaAl2TcTe at its relaxed geometry.

The value obtained for the formation energy without anion corrections is 1.038 eV/atom. The value obtained for the total energy is -5.53 eV per atom. The total magnetization comes out at 0.000 μB per cell.

The space group is P4/mmm (No. 123) and the conventional cell measures 4.6165, 4.6165 and 5.1569 Å, with angles of 90.00, 90.00 and 90.00 degrees. The asymmetric unit holds Ta at (0.0000, 0.0000, 0.0000), Al at (0.0000, 0.5000, 0.5000), Tc at (0.5000, 0.5000, 0.5000) and Te at (0.5000, 0.5000, 0.0000).